A plane-wave DFT calculation with PBE was carried out for an optimized crystal structure of Pr2Dy2Cd15.

Results
ΔH_f (0 K) (eV/atom): -0.148
Magnetic moment (μB per cell): 0.0
SG: R-3m (166)
E (eV/atom): -1.858

POSCAR file:
```
Pr2Dy2Cd15
1.0
7.875 0.176 0.156
1.196 7.786 0.156
1.196 1.050 7.716
Cd Pr Dy
15 2 2
Direct
0.293 0.707 0.000 Cd
0.369 0.849 0.369 Cd
0.369 0.369 0.849 Cd
0.707 0.000 0.293 Cd
0.000 0.000 0.500 Cd
0.500 0.000 0.000 Cd
0.707 0.293 0.000 Cd
0.000 0.707 0.293 Cd
0.293 0.000 0.707 Cd
0.849 0.369 0.369 Cd
0.000 0.500 0.000 Cd
0.000 0.293 0.707 Cd
0.151 0.631 0.631 Cd
0.631 0.151 0.631 Cd
0.631 0.631 0.151 Cd
0.670 0.670 0.670 Pr
0.330 0.330 0.330 Pr
0.902 0.902 0.902 Dy
0.098 0.098 0.098 Dy
```